Density functional theory data (GGA-PBE) for Pr2ThGa3Pt4 after structural relaxation.

abc: 4.4343 4.4343 11.0910
angles: 90.00 90.00 90.00
Fractional positions:
Pr  0.0000  0.5000  0.2191
Pr  0.5000  0.0000  0.7809
Th  0.0000  0.0000  0.5000
Ga  0.0000  0.5000  0.8829
Ga  0.5000  0.0000  0.1171
Ga  0.5000  0.5000  0.5000
Pt  0.0000  0.0000  0.0000
Pt  0.0000  0.5000  0.6576
Pt  0.5000  0.0000  0.3424
Pt  0.5000  0.5000  0.0000

Magnetization   0.00 μB per atom
Energy of formation   -0.9343 eV per atom
Density   11.4 Mg/m³

---

Density functional theory data (GGA-PBE) for NdSm6Sc after structural relaxation.

abc: 5.0831 5.0831 10.1240
angles: 90.00 90.00 90.00
Fractional positions:
Nd  0.0000  0.0000  0.0000
Sm  0.0000  0.5000  0.2570
Sm  0.0000  0.5000  0.7430
Sm  0.5000  0.0000  0.2570
Sm  0.5000  0.0000  0.7430
Sm  0.5000  0.5000  0.0000
Sm  0.5000  0.5000  0.5000
Sc  0.0000  0.0000  0.5000

Magnetization   0.00 μB per atom
Energy of formation   0.0340 eV per atom
Density   6.9 Mg/m³

---

Question: Which value of density does entry 2 give?
Answer: 6.9 Mg/m³

---

Question: Which of these has the highest density?
Answer: Pr2ThGa3Pt4

---

Question: magnetization of number 2 (NdSm6Sc)?
Answer: 0.00 μB per atom